A relaxed Ba2YBi2 crystal. Source: Alexandria via LeMat-Bulk, functional GGA-PBE.

extended XYZ file:
```
10
Lattice="-2.932 4.815 -4.469 7.015 -0.312 -4.938 -4.945 -7.539 0.913" Properties=species:S:1:pos:R:3 pbc="T T T"
Ba -4.473 -3.638 -0.984
Ba 0.244 -1.591 -1.874
Bi 4.549 -1.390 -4.481
Y 2.775 1.048 -3.587
Ba -1.106 -1.445 -6.621
Bi -0.273 1.167 -4.354
Bi -5.411 -1.646 -4.013
Bi -0.589 -4.203 -4.140
Ba 3.611 0.602 -7.511
Y 1.308 3.455 -5.821
```

Output
Energy above the most stable polymorph in this dataset (eV per atom): 0.0000
Total moment (μB per cell): 1.9
Raw total energy (eV per atom): -4.399
ΔE_f (meV/atom): -784
N(E_F) (states/eV/cell): 6.61



A relaxed Ba4Zn3Bi8 crystal. Source: Alexandria via LeMat-Bulk, functional GGA-PBE.

extended XYZ file:
```
15
Lattice="-1.039 -3.669 2.751 0.516 -2.897 -3.668 22.909 -2.556 5.240" Properties=species:S:1:pos:R:3 pbc="T T T"
Bi 12.574 -3.296 4.370
Ba 19.706 -4.092 6.001
Bi 5.545 -0.619 1.268
Ba 14.704 -3.060 1.470
Bi 10.074 -2.544 0.411
Zn 11.455 -1.278 2.620
Ba 2.942 -1.748 -1.220
Bi 16.971 -5.206 3.483
Bi 21.745 -3.846 3.080
Bi 5.415 -3.916 0.840
Zn 0.000 0.000 0.000
Bi 0.903 -1.993 1.701
Bi 17.364 -1.938 3.971
Ba 7.944 -2.779 3.311
Zn 11.193 -4.561 2.161
```

Output
Total moment (μB per cell): 0.0
Raw total energy (eV per atom): -3.293
ΔE_f (meV/atom): -456
N(E_F) (states/eV/cell): 10.74



A relaxed Ba4ZnBi4 crystal. Source: Alexandria via LeMat-Bulk, functional GGA-PBE.

extended XYZ file:
```
18
Lattice="7.330 0.000 0.000 0.000 10.216 0.000 0.000 0.000 10.216" Properties=species:S:1:pos:R:3 pbc="T T T"
Bi 2.139 5.112 7.499
Bi 5.804 7.824 0.004
Bi 1.526 0.004 2.391
Ba 1.506 7.782 5.104
Bi 5.191 7.499 5.104
Zn 3.665 5.108 5.108
Ba 5.824 5.104 2.434
Ba 5.171 10.212 7.541
Ba 2.159 2.674 10.212
Bi 5.804 2.391 10.211
Bi 5.191 2.716 5.112
Ba 5.824 5.111 7.782
Ba 1.506 2.434 5.111
Bi 2.139 5.104 2.716
Zn 0.000 0.000 0.000
Ba 5.171 0.003 2.674
Ba 2.159 7.541 0.003
Bi 1.526 10.211 7.824
```

Output
Total moment (μB per cell): 0.0
Raw total energy (eV per atom): -3.448
ΔE_f (meV/atom): -727
N(E_F) (states/eV/cell): 19.50



A relaxed Ba2Zn2Bi crystal. Source: Alexandria via LeMat-Bulk, functional GGA-PBE.

extended XYZ file:
```
10
Lattice="8.221 0.000 0.000 0.000 8.221 0.000 0.000 0.000 4.949" Properties=species:S:1:pos:R:3 pbc="T T T"
Zn 3.210 7.321 0.000
Ba 2.552 1.558 2.475
Ba 5.669 6.663 2.475
Zn 5.011 0.900 0.000
Ba 6.663 2.552 2.475
Ba 1.558 5.669 2.475
Bi 0.000 0.000 0.000
Bi 4.110 4.110 0.000
Zn 0.900 3.210 0.000
Zn 7.321 5.011 0.000
```

Output
Energy above the most stable polymorph in this dataset (eV per atom): 0.0000
Total moment (μB per cell): 0.0
Raw total energy (eV per atom): -2.450
ΔE_f (meV/atom): -395
N(E_F) (states/eV/cell): 7.22



A relaxed BaZn2Bi2 crystal. Source: Alexandria via LeMat-Bulk, functional GGA-PBE.

extended XYZ file:
```
5
Lattice="5.108 0.000 0.000 0.000 5.108 0.000 2.554 2.554 5.608" Properties=species:S:1:pos:R:3 pbc="T T T"
Zn 5.108 5.108 4.373
Ba 0.000 0.000 0.000
Zn 2.554 2.554 1.235
Bi 5.108 2.554 2.804
Bi 2.554 5.108 2.804
```

Output
Total moment (μB per cell): 0.0
Raw total energy (eV per atom): -2.830
ΔE_f (meV/atom): -384
N(E_F) (states/eV/cell): 1.51



A relaxed BaZn2Bi2 crystal. Source: Alexandria via LeMat-Bulk, functional GGA-PBE.

extended XYZ file:
```
10
Lattice="-6.546 -5.256 -2.012 4.900 -3.804 -6.004 1.213 -2.494 2.570" Properties=species:S:1:pos:R:3 pbc="T T T"
Zn 1.181 -2.063 -2.559
Ba 0.000 0.000 0.000
Ba -0.823 -4.530 -4.008
Bi 0.201 -7.937 -5.016
Zn -2.827 -6.997 -5.456
Bi -3.197 -6.796 -2.305
Zn 1.810 -5.427 -6.121
Bi -0.634 -3.617 -0.430
Zn -3.455 -3.632 -1.895
Bi 2.764 -4.758 -3.140
```

Output
Total moment (μB per cell): 0.0
Raw total energy (eV per atom): -2.668
ΔE_f (meV/atom): -222
N(E_F) (states/eV/cell): 4.84



A relaxed BaZn3Bi crystal. Source: Alexandria via LeMat-Bulk, functional GGA-PBE.

extended XYZ file:
```
5
Lattice="-3.826 2.000 -3.472 -1.064 -5.135 -1.785 -3.862 -0.566 3.930" Properties=species:S:1:pos:R:3 pbc="T T T"
Zn -0.532 -2.567 -0.893
Zn -1.931 -0.283 1.965
Ba -4.376 -1.851 -0.663
Zn -1.913 1.000 -1.736
Bi 0.000 0.000 0.000
```

Output
Energy above the most stable polymorph in this dataset (eV per atom): 0.0000
Total moment (μB per cell): 0.0
Raw total energy (eV per atom): -1.727
ΔE_f (meV/atom): 199
N(E_F) (states/eV/cell): 4.21



A relaxed Ba2ZnBi crystal. Source: Alexandria via LeMat-Bulk, functional GGA-PBE.

extended XYZ file:
```
4
Lattice="-4.755 -1.925 -3.120 -5.344 2.635 0.741 -2.299 3.408 -4.376" Properties=species:S:1:pos:R:3 pbc="T T T"
Ba -3.099 1.030 -1.689
Ba -9.298 3.089 -5.067
Zn 0.000 0.000 0.000
Bi -6.199 2.059 -3.378
```

Output
Energy above the most stable polymorph in this dataset (eV per atom): 0.0112
Total moment (μB per cell): 0.0
Raw total energy (eV per atom): -2.791
ΔE_f (meV/atom): -540
N(E_F) (states/eV/cell): 4.74



A relaxed BaZnBi2 crystal. Source: Alexandria via LeMat-Bulk, functional GGA-PBE.

extended XYZ file:
```
4
Lattice="5.117 0.000 0.000 2.558 4.431 0.000 2.558 1.477 6.055" Properties=species:S:1:pos:R:3 pbc="T T T"
Zn 0.000 0.000 0.000
Bi 2.558 1.477 0.798
Ba 5.117 2.954 3.027
Bi 7.675 4.431 5.257
```

Output
Total moment (μB per cell): 0.0
Raw total energy (eV per atom): -3.020
ΔE_f (meV/atom): -281
N(E_F) (states/eV/cell): 2.66



A relaxed BaZnBi3 crystal. Source: Alexandria via LeMat-Bulk, functional GGA-PBE.

extended XYZ file:
```
10
Lattice="6.846 0.000 0.001 0.000 7.010 -0.001 0.001 0.002 7.027" Properties=species:S:1:pos:R:3 pbc="T T T"
Zn 0.908 5.570 4.920
Bi 3.257 6.119 6.684
Bi 2.356 1.937 1.414
Ba 3.080 2.724 4.926
Bi 3.259 6.117 3.164
Bi 5.780 0.538 4.926
Bi 6.680 3.366 3.171
Zn 4.330 3.914 1.407
Bi 6.682 3.367 6.678
Ba 6.505 6.759 1.411
```

Output
Energy above the most stable polymorph in this dataset (eV per atom): 0.0000
Total moment (μB per cell): 0.0
Raw total energy (eV per atom): -3.291
ΔE_f (meV/atom): -323
N(E_F) (states/eV/cell): 3.64



A relaxed Ba2ZnBi3 crystal. Source: Alexandria via LeMat-Bulk, functional GGA-PBE.

extended XYZ file:
```
6
Lattice="4.829 0.000 0.000 0.000 4.984 0.000 0.000 0.000 9.567" Properties=species:S:1:pos:R:3 pbc="T T T"
Ba 0.000 0.000 4.739
Bi 0.000 2.492 1.416
Zn 2.414 2.492 6.384
Bi 2.414 2.492 3.589
Bi 0.000 2.492 7.773
Ba 2.414 0.000 0.016
```

Output
Energy above the most stable polymorph in this dataset (eV per atom): 0.0000
Total moment (μB per cell): 0.0
Raw total energy (eV per atom): -3.358
ΔE_f (meV/atom): -565
N(E_F) (states/eV/cell): 3.28



A relaxed Ba2ZnBi5 crystal. Source: Alexandria via LeMat-Bulk, functional GGA-PBE.

extended XYZ file:
```
8
Lattice="-5.287 -3.789 -3.476 -0.812 -4.308 5.931 -0.564 7.347 0.674" Properties=species:S:1:pos:R:3 pbc="T T T"
Bi -4.960 1.383 2.436
Ba -4.386 -0.304 -0.821
Bi -2.153 5.109 1.306
Bi -4.920 -2.341 2.212
Bi -2.527 3.127 4.035
Ba -2.148 -0.564 3.882
Zn -0.488 0.445 0.257
Bi -4.586 3.366 -0.293
```

Output
Total moment (μB per cell): 0.0
Raw total energy (eV per atom): -3.482
ΔE_f (meV/atom): -416
N(E_F) (states/eV/cell): 4.29